# 1
A plane-wave DFT calculation with meta-GGA SCAN was carried out for a PBEsol-optimized structure of Li5VO4F.

Cell: 5.173 5.173 8.862 Å, 96.89 96.89 113.26°
Sites, in units of the cell vectors:
Li1 0.021 0.351 0.309
Li2 0.121 0.879 0.500
Li3 0.226 0.467 0.611
Li4 0.351 0.021 0.809
Li5 0.390 0.697 0.993
Li6 0.467 0.226 0.111
Li7 0.653 0.951 0.621
Li8 0.697 0.390 0.493
Li9 0.879 0.121 0.000
Li10 0.951 0.653 0.121
V1 0.629 0.811 0.326
V2 0.811 0.629 0.826
O1 0.114 0.887 0.969
O2 0.367 0.679 0.444
O3 0.544 0.769 0.799
O4 0.671 0.972 0.160
O5 0.679 0.367 0.944
O6 0.769 0.544 0.299
O7 0.887 0.114 0.469
O8 0.972 0.671 0.660
F1 0.208 0.440 0.127
F2 0.440 0.208 0.627

Output
SG = Cc (9)
ΔE_f (raw) = -239 kJ/mol of atoms

---

# 2
A plane-wave DFT calculation with meta-GGA SCAN was carried out for a PBEsol-optimized structure of Li3VO3F.

Cell: 7.042 7.042 7.026 Å, 109.36 109.36 109.46°
Sites, in units of the cell vectors:
Li1 0.000 0.000 0.000
Li2 0.019 0.508 0.513
Li3 0.019 0.768 0.249
Li4 0.258 0.763 0.003
Li5 0.259 0.997 0.746
Li6 0.270 0.270 0.512
Li7 0.506 0.775 0.770
Li8 0.508 0.019 0.513
Li9 0.763 0.258 0.003
Li10 0.768 0.019 0.249
Li11 0.775 0.506 0.770
Li12 0.997 0.259 0.746
V1 0.234 0.484 0.224
V2 0.482 0.482 0.984
V3 0.484 0.234 0.224
V4 0.755 0.755 0.530
O1 0.030 0.514 0.022
O2 0.035 0.282 0.261
O3 0.248 0.248 0.993
O4 0.281 0.515 0.780
O5 0.282 0.035 0.261
O6 0.508 0.508 0.487
O7 0.510 0.733 0.256
O8 0.514 0.030 0.022
O9 0.515 0.281 0.780
O10 0.733 0.510 0.256
O11 0.749 0.986 0.727
O12 0.986 0.749 0.727
F1 0.256 0.755 0.496
F2 0.755 0.256 0.496
F3 0.756 0.756 0.010
F4 0.997 0.997 0.495

Output
SG = Cm (8)
ΔE_f (raw) = -253 kJ/mol of atoms

---

| no. | size of the total moment (μB per formula unit) |
| --- | --- |
| 1 | 1.000 |
| 2 | 1.000 |